Record 1
This record from Alexandria describes an optimized crystal structure of NaTmTlF6. The functional is PBE.

POSCAR file:
```
NaTmTlF6
1.0
6.1039 0.0000 0.0000
-3.0520 5.2862 0.0000
0.0000 0.0000 9.3216
Na Tm Tl F
2 2 2 12
direct
0.0000 0.0000 0.0000
0.0000 0.0000 0.5000
0.3333 0.6667 0.2500
0.6667 0.3333 0.7500
0.6667 0.3333 0.2500
0.3333 0.6667 0.7500
0.6376 0.6717 0.1287
0.0341 0.3624 0.1287
0.3624 0.0341 0.6287
0.9659 0.6376 0.8713
0.3283 0.3624 0.3713
0.0341 0.6717 0.3713
0.6717 0.0341 0.8713
0.6376 0.9659 0.3713
0.9659 0.3283 0.6287
0.3283 0.9659 0.1287
0.6717 0.6376 0.6287
0.3624 0.3283 0.8713
```

Summary:
Size of the total moment = 1.32 μB per cell
Formation energy from raw total energies = -2.960 eV per atom

Record 2
This record from Alexandria describes an optimized crystal structure of NaTm3Tl2F12. The functional is PBE.

POSCAR file:
```
NaTm3Tl2F12
1.0
-3.7002 6.7855 0.7337
-1.3608 2.2964 7.2903
4.3454 5.9253 2.5064
Na Tm Tl F
1 3 2 12
direct
0.0000 0.0000 0.0000
0.5000 0.0000 0.0000
0.0000 0.5000 0.0000
0.0000 0.0000 0.5000
0.6398 0.6398 0.6398
0.3602 0.3602 0.3602
0.2773 0.2773 0.9144
0.8727 0.8727 0.4097
0.4097 0.8727 0.8727
0.9144 0.2773 0.2773
0.8727 0.4097 0.8727
0.2773 0.9144 0.2773
0.7227 0.7227 0.0856
0.1273 0.1273 0.5903
0.5903 0.1273 0.1273
0.0856 0.7227 0.7227
0.1273 0.5903 0.1273
0.7227 0.0856 0.7227
```

Summary:
Size of the total moment = 0.00 μB per cell
Formation energy from raw total energies = -3.445 eV per atom

Record 3
This record from Alexandria describes an optimized crystal structure of Na2TmTlF6. The functional is PBE.

POSCAR file:
```
Na2TmTlF6
1.0
6.0550 0.0004 0.0009
3.0278 5.2433 0.0004
3.0282 1.7483 5.4028
Na Tm Tl F
2 1 1 6
direct
0.5258 0.5258 0.4226
0.0129 0.0129 0.9613
0.3201 0.3200 0.0399
0.7964 0.7963 0.6109
0.5767 0.2590 0.2206
0.2589 0.9438 0.2207
0.9438 0.5767 0.2207
0.3467 0.7018 0.7728
0.7018 0.1787 0.7728
0.1787 0.3467 0.7728
```

Summary:
Size of the total moment = 0.00 μB per cell
Formation energy from raw total energies = -3.118 eV per atom